Entry from Alexandria: an optimized crystal structure of DyHo9In2 (GGA-PBE).

Values from the calculation:
DFT total energy in eV/atom: -4.44

```
DyHo9In2
1.0
4.851 0.000 0.000
0.000 4.851 0.000
0.000 0.000 14.844
Ho In Dy
9 2 1
direct
0.000 0.500 0.172
0.500 0.000 0.172
0.500 0.500 0.663
0.500 0.000 0.828
0.500 0.500 0.337
0.500 0.500 0.000
0.000 0.500 0.828
0.000 0.500 0.500
0.500 0.000 0.500
0.000 0.000 0.661
0.000 0.000 0.339
0.000 0.000 0.000
```